No. 1
Entry from the Alexandria database: a relaxed structure of Ca2CdH6Rh (GGA-PBE).

As for the total energy: -36.39 eV per cell. For the total magnetization, the calculation gives 0.00 μB per formula unit. For the calculated volume, the calculation gives 139.1 Å³/cell. The value obtained for the theoretical density is 3.6 Mg/m³.

```
data_Ca2CdH6Rh
_cell_length_a 4.7103
_cell_length_b 4.7103
_cell_length_c 7.2373
_cell_angle_alpha 90.00
_cell_angle_beta 90.00
_cell_angle_gamma 120.00
_space_group_name_H-M_alt 'P -3 m 1'
_space_group_IT_number 164
_space_group_name_Hall '-P 3 2"'
loop_
_atom_site_label
_atom_site_fract_x
_atom_site_fract_y
_atom_site_fract_z
Ca1 0.3333 0.6667 0.1937
Cd1 0.0000 0.0000 0.5000
H1 0.1688 0.3377 0.8691
Rh1 0.0000 0.0000 0.0000
```

---

No. 2
Entry from the Alexandria database: a relaxed structure of TbPrGeRh (GGA-PBE).

As for the total energy: -49.15 eV per cell. For the total magnetization, the calculation gives 0.00 μB per formula unit. The energy above the most stable polymorph in this dataset comes out at 0.000 eV per formula unit. For the calculated volume, the calculation gives 190.0 Å³/cell. The value obtained for the theoretical density is 8.3 Mg/m³.

```
data_TbPrGeRh
_cell_length_a 4.218
_cell_length_b 4.213
_cell_length_c 10.693
_cell_angle_alpha 90.00
_cell_angle_beta 90.00
_cell_angle_gamma 90.00
_space_group_name_H-M_alt 'A m m 2'
_space_group_IT_number 38
_space_group_name_Hall 'A 2 -2'
loop_
_atom_site_label
_atom_site_fract_x
_atom_site_fract_y
_atom_site_fract_z
Tb1 0.000 0.000 0.000
Pr1 0.500 0.000 0.719
Ge1 0.000 0.000 0.295
Rh1 0.500 0.000 0.444
```

---

No. 3
Entry from the Alexandria database: a relaxed structure of SrNd3Cd4 (GGA-PBE).

As for the total energy: -22.11 eV per cell. For the total magnetization, the calculation gives 0.53 μB per formula unit. For the calculated volume, the calculation gives 237.3 Å³/cell. The value obtained for the theoretical density is 6.8 Mg/m³.

```
data_SrNd3Cd4
_cell_length_a 5.491
_cell_length_b 5.491
_cell_length_c 7.871
_cell_angle_alpha 90.00
_cell_angle_beta 90.00
_cell_angle_gamma 90.00
_space_group_name_H-M_alt 'P 4/m m m'
_space_group_IT_number 123
_space_group_name_Hall '-P 4 2'
loop_
_atom_site_label
_atom_site_fract_x
_atom_site_fract_y
_atom_site_fract_z
Sr1 0.000 0.000 0.000
Nd1 0.000 0.000 0.500
Nd2 0.500 0.500 0.000
Nd3 0.500 0.500 0.500
Cd1 0.000 0.500 0.258
```

---

No. 4
Entry from the Alexandria database: a relaxed structure of TmMgCdSn (GGA-PBE).

As for the total energy: -12.60 eV per cell. For the total magnetization, the calculation gives 0.00 μB per formula unit. The energy above the most stable polymorph in this dataset comes out at 0.000 eV per formula unit. For the calculated volume, the calculation gives 93.9 Å³/cell. The value obtained for the theoretical density is 7.5 Mg/m³.

```
data_TmMgCdSn
_cell_length_a 4.334
_cell_length_b 4.533
_cell_length_c 4.780
_cell_angle_alpha 90.00
_cell_angle_beta 90.00
_cell_angle_gamma 90.00
_space_group_name_H-M_alt 'P m m m'
_space_group_IT_number 47
_space_group_name_Hall '-P 2 2'
loop_
_atom_site_label
_atom_site_fract_x
_atom_site_fract_y
_atom_site_fract_z
Tm1 0.000 0.000 0.000
Mg1 0.000 0.500 0.500
Cd1 0.500 0.000 0.500
Sn1 0.500 0.500 0.000
```

---

No. 5
Entry from the Alexandria database: a relaxed structure of CrSbTe2W (GGA-PBE).

For the formation energy (no corrections), the calculation gives 1.2747 eV per atom. As for the total energy: -26.61 eV per cell. For the total magnetization, the calculation gives 5.83 μB per formula unit. The energy above the most stable polymorph in this dataset comes out at 1.552 eV per formula unit. For the calculated volume, the calculation gives 132.5 Å³/cell. The value obtained for the theoretical density is 7.7 Mg/m³.

```
data_CrSbTe2W
_cell_length_a 5.143
_cell_length_b 5.143
_cell_length_c 5.011
_cell_angle_alpha 90.00
_cell_angle_beta 90.00
_cell_angle_gamma 90.00
_space_group_name_H-M_alt 'P 4/m m m'
_space_group_IT_number 123
_space_group_name_Hall '-P 4 2'
loop_
_atom_site_label
_atom_site_fract_x
_atom_site_fract_y
_atom_site_fract_z
Cr1 0.000 0.000 0.000
Sb1 0.000 0.000 0.500
Te1 0.000 0.500 0.000
W1 0.500 0.500 0.500
```

---

No. 6
Entry from the Alexandria database: a relaxed structure of CeTh2Co (GGA-PBE).

As for the total energy: -81.22 eV per cell. For the total magnetization, the calculation gives 0.05 μB per formula unit. The energy above the most stable polymorph in this dataset comes out at 1.476 eV per formula unit. For the calculated volume, the calculation gives 284.9 Å³/cell. The value obtained for the theoretical density is 11.6 Mg/m³.

```
data_CeTh2Co
_cell_length_a 5.2183
_cell_length_b 5.2183
_cell_length_c 12.0818
_cell_angle_alpha 90.00
_cell_angle_beta 90.00
_cell_angle_gamma 120.00
_space_group_name_H-M_alt 'R -3 m'
_space_group_IT_number 166
_space_group_name_Hall '-R 3 2"'
loop_
_atom_site_label
_atom_site_fract_x
_atom_site_fract_y
_atom_site_fract_z
Ce1 0.0000 0.0000 0.0000
Th1 0.0000 0.0000 0.2506
Co1 0.0000 0.0000 0.5000
```

---

No. 7
Entry from the Alexandria database: a relaxed structure of ZrGaTeI2 (GGA-PBE).

For the formation energy (no corrections), the calculation gives -0.3179 eV per atom. As for the total energy: -19.41 eV per cell. For the total magnetization, the calculation gives 0.00 μB per formula unit. The energy above the most stable polymorph in this dataset comes out at 0.000 eV per formula unit. For the calculated volume, the calculation gives 189.3 Å³/cell. The value obtained for the theoretical density is 4.8 Mg/m³.

```
data_ZrGaTeI2
_cell_length_a 5.778
_cell_length_b 5.778
_cell_length_c 5.671
_cell_angle_alpha 90.00
_cell_angle_beta 90.00
_cell_angle_gamma 90.00
_space_group_name_H-M_alt 'P 4/m m m'
_space_group_IT_number 123
_space_group_name_Hall '-P 4 2'
loop_
_atom_site_label
_atom_site_fract_x
_atom_site_fract_y
_atom_site_fract_z
Zr1 0.000 0.000 0.000
Ga1 0.500 0.500 0.500
Te1 0.000 0.000 0.500
I1 0.000 0.500 0.000
```

---

No. 8
Entry from the Alexandria database: a relaxed structure of NaAs2P (GGA-PBE).

As for the total energy: -65.59 eV per cell. For the total magnetization, the calculation gives 0.00 μB per formula unit. For the calculated volume, the calculation gives 389.6 Å³/cell. The value obtained for the theoretical density is 3.5 Mg/m³.

```
data_NaAs2P
_cell_length_a 6.050
_cell_length_b 5.855
_cell_length_c 11.858
_cell_angle_alpha 90.00
_cell_angle_beta 111.93
_cell_angle_gamma 90.00
_space_group_name_H-M_alt 'P 1 2/c 1'
_space_group_IT_number 13
_space_group_name_Hall '-P 2yc'
loop_
_atom_site_label
_atom_site_fract_x
_atom_site_fract_y
_atom_site_fract_z
Na1 0.111 0.174 0.131
As1 0.188 0.333 0.687
As2 0.436 0.221 0.436
P1 0.495 0.399 0.878
```

---

No. 9
Entry from the Alexandria database: a relaxed structure of NaYMgGe2 (GGA-PBE).

As for the total energy: -17.48 eV per cell. For the total magnetization, the calculation gives 0.00 μB per formula unit. For the calculated volume, the calculation gives 122.1 Å³/cell. The value obtained for the theoretical density is 3.8 Mg/m³.

```
data_NaYMgGe2
_cell_length_a 5.026
_cell_length_b 5.026
_cell_length_c 4.832
_cell_angle_alpha 90.00
_cell_angle_beta 90.00
_cell_angle_gamma 90.00
_space_group_name_H-M_alt 'P 4/m m m'
_space_group_IT_number 123
_space_group_name_Hall '-P 4 2'
loop_
_atom_site_label
_atom_site_fract_x
_atom_site_fract_y
_atom_site_fract_z
Na1 0.000 0.000 0.000
Y1 0.500 0.500 0.000
Mg1 0.000 0.000 0.500
Ge1 0.000 0.500 0.500
```